Entry from Alexandria: crystalline NaCoO at its relaxed geometry (PBE+U).

Results
SG: Cmcm, No. 63
DFT total energy (eV/atom): -4.40
Magnetic moment (μB/atom): 0.803

Cell: 2.7952 3.7630 7.6041 Å, 90.00 100.59 90.00°
Fractional coordinates of all 6 atoms:
Na 0.6877 0.7500 0.3755
Na 0.3123 0.2500 0.6245
Co 0.5562 0.2500 0.1124
Co 0.4438 0.7500 0.8876
O 0.8505 0.7500 0.7010
O 0.1495 0.2500 0.2990